Tb2PmMg3 | PBE-GGA | optimized geometry

Summary:
Total magnetic moment: 0.00 μB per formula unit
Total energy: -0.1185 hartree per atom
Symmetry: P4/mmm, No. 123
Formation energy: -0.09 eV per atom

a = 3.817 Å, b = 3.817 Å, c = 11.483 Å
α = 90.00°, β = 90.00°, γ = 90.00°
Positions (direct):
Tb  0.000  0.000  0.164
Tb  0.000  0.000  0.836
Pm  0.000  0.000  0.500
Mg  0.500  0.500  0.000
Mg  0.500  0.500  0.328
Mg  0.500  0.500  0.672